Entry from Alexandria: ScPbAu2 after structural relaxation (PBE).

Lattice parameters (Å, degrees): 3.133 5.011 11.625 90.00 90.00 90.00
Space group Immm (No. 71)
Unique sites:
Sc  0.000  0.000  0.000
Pb  0.000  0.000  0.500
Au  0.000  0.000  0.241

Output
**Calculated volume**: 182.5 Å³/cell
**Energy of formation**: -0.0407 eV/atom

---

Entry from Alexandria: ScPbAu after structural relaxation (PBE).

Lattice parameters (Å, degrees): 4.642 6.086 6.090 119.82 101.07 100.53
Space group P1 (No. 1)
Unique sites:
Sc  0.000  0.000  0.000
Sc  0.494  0.243  0.751
Pb  0.195  0.612  0.120
Pb  0.701  0.368  0.371
Au  0.370  0.727  0.704
Au  0.865  0.947  0.480

Output
**Calculated volume**: 138.5 Å³/cell
**Energy of formation**: -0.3937 eV/atom

---

Entry from Alexandria: ScPbAu2 after structural relaxation (PBE).

Lattice parameters (Å, degrees): 3.558 3.558 6.941 90.00 90.00 90.00
Space group P4mm (No. 99)
Unique sites:
Sc  0.000  0.000  0.000
Pb  0.500  0.500  0.683
Au  0.000  0.000  0.416
Au  0.500  0.500  0.189

Output
**Calculated volume**: 87.9 Å³/cell
**Energy of formation**: -0.3428 eV/atom

---

> What is the energy of formation in the first record?

-0.0407 eV/atom

---

Copy entry 2 word for word.
Entry from Alexandria: ScPbAu after structural relaxation (PBE).

Lattice parameters (Å, degrees): 4.642 6.086 6.090 119.82 101.07 100.53
Space group P1 (No. 1)
Unique sites:
Sc  0.000  0.000  0.000
Sc  0.494  0.243  0.751
Pb  0.195  0.612  0.120
Pb  0.701  0.368  0.371
Au  0.370  0.727  0.704
Au  0.865  0.947  0.480

Output
**Calculated volume**: 138.5 Å³/cell
**Energy of formation**: -0.3937 eV/atom

---

> calculated volume of number 2 (ScPbAu)?

138.5 Å³/cell

---

> Number 2 is which compound?

ScPbAu